# 1
A relaxed ScCd4 crystal. Source: Alexandria via LeMat-Bulk, functional PBE-GGA.

Unit cell a=10.3337 b=10.3337 c=10.3337 alpha=161.87 beta=161.35 gamma=26.13
Atoms (fractional coordinates):
Sc  0.0000  0.0000  0.0000
Cd  0.1996  0.1996  0.0000
Cd  0.3998  0.3998  0.0000
Cd  0.6002  0.6002  0.0000
Cd  0.8004  0.8004  0.0000

Values from the calculation:
V (Å³ per atom): 22.0
Raw total energy (eV for the cell shown): -10.61
Energy above the lowest structure with this stoichiometry (eV/atom): 0.000
ΔH_f (0 K) (eV per atom): -0.1228

***

# 2
A relaxed ScCd7 crystal. Source: Alexandria via LeMat-Bulk, functional PBE-GGA.

Unit cell a=9.4666 b=9.4666 c=9.4666 alpha=152.87 beta=152.87 gamma=38.74
Atoms (fractional coordinates):
Sc  0.0000  0.0000  0.0000
Cd  0.1242  0.6242  0.5000
Cd  0.2461  0.2461  0.0000
Cd  0.3758  0.8758  0.5000
Cd  0.5000  0.5000  0.0000
Cd  0.6242  0.1242  0.5000
Cd  0.7539  0.7539  0.0000
Cd  0.8758  0.3758  0.5000

Values from the calculation:
V (Å³ per atom): 22.0
Raw total energy (eV for the cell shown): -13.66
Energy above the lowest structure with this stoichiometry (eV/atom): 0.001
ΔH_f (0 K) (eV per atom): -0.1153

***

# 3
A relaxed Sc4Cd5 crystal. Source: Alexandria via LeMat-Bulk, functional PBE-GGA.

Unit cell a=8.7218 b=8.7218 c=6.0989 alpha=90.00 beta=90.00 gamma=120.00
Atoms (fractional coordinates):
Sc  0.0000  0.0000  0.0000
Sc  0.0000  0.0000  0.5000
Sc  0.0000  0.3506  0.2500
Sc  0.0000  0.6494  0.7500
Sc  0.3506  0.0000  0.2500
Sc  0.3506  0.3506  0.7500
Sc  0.6494  0.0000  0.7500
Sc  0.6494  0.6494  0.2500
Cd  0.0000  0.3139  0.7500
Cd  0.0000  0.6861  0.2500
Cd  0.3139  0.0000  0.7500
Cd  0.3139  0.3139  0.2500
Cd  0.3333  0.6667  0.0000
Cd  0.3333  0.6667  0.5000
Cd  0.6667  0.3333  0.0000
Cd  0.6667  0.3333  0.5000
Cd  0.6861  0.0000  0.2500
Cd  0.6861  0.6861  0.7500

Values from the calculation:
V (Å³ per atom): 22.3
Raw total energy (eV for the cell shown): -63.56
Energy above the lowest structure with this stoichiometry (eV/atom): 0.000
ΔH_f (0 K) (eV per atom): -0.2087

***

# 4
A relaxed ScCd7 crystal. Source: Alexandria via LeMat-Bulk, functional PBE-GGA.

Unit cell a=6.2827 b=6.2827 c=9.4419 alpha=90.00 beta=90.00 gamma=108.43
Atoms (fractional coordinates):
Sc  0.0230  0.9770  0.7500
Sc  0.9770  0.0230  0.2500
Cd  0.0987  0.4955  0.7500
Cd  0.2101  0.7899  0.0176
Cd  0.2101  0.7899  0.4824
Cd  0.2880  0.2880  0.0000
Cd  0.2880  0.2880  0.5000
Cd  0.4137  0.5863  0.2500
Cd  0.4955  0.0987  0.2500
Cd  0.5045  0.9013  0.7500
Cd  0.5863  0.4137  0.7500
Cd  0.7120  0.7120  0.0000
Cd  0.7120  0.7120  0.5000
Cd  0.7899  0.2101  0.5176
Cd  0.7899  0.2101  0.9824
Cd  0.9013  0.5045  0.2500

Values from the calculation:
V (Å³ per atom): 22.1
Raw total energy (eV for the cell shown): -27.33
Energy above the lowest structure with this stoichiometry (eV/atom): 0.000
ΔH_f (0 K) (eV per atom): -0.1158

***

# 5
A relaxed Sc5Cd3 crystal. Source: Alexandria via LeMat-Bulk, functional PBE-GGA.

Unit cell a=8.7626 b=8.7626 c=5.5391 alpha=90.00 beta=90.00 gamma=120.00
Atoms (fractional coordinates):
Sc  0.0000  0.2302  0.2500
Sc  0.0000  0.7698  0.7500
Sc  0.2302  0.0000  0.2500
Sc  0.2302  0.2302  0.7500
Sc  0.3333  0.6667  0.0000
Sc  0.3333  0.6667  0.5000
Sc  0.6667  0.3333  0.0000
Sc  0.6667  0.3333  0.5000
Sc  0.7698  0.0000  0.7500
Sc  0.7698  0.7698  0.2500
Cd  0.0000  0.4015  0.7500
Cd  0.0000  0.5985  0.2500
Cd  0.4015  0.0000  0.7500
Cd  0.4015  0.4015  0.2500
Cd  0.5985  0.0000  0.2500
Cd  0.5985  0.5985  0.7500

Values from the calculation:
V (Å³ per atom): 23.0
Raw total energy (eV for the cell shown): -71.05
Energy above the lowest structure with this stoichiometry (eV/atom): 0.060
ΔH_f (0 K) (eV per atom): -0.1402

***

# 6
A relaxed Sc3Cd crystal. Source: Alexandria via LeMat-Bulk, functional PBE-GGA.

Unit cell a=5.0764 b=5.0764 c=5.0764 alpha=60.00 beta=60.00 gamma=60.00
Atoms (fractional coordinates):
Sc  0.0000  0.0000  0.0000
Sc  0.2500  0.2500  0.2500
Sc  0.7500  0.7500  0.7500
Cd  0.5000  0.5000  0.5000

Values from the calculation:
V (Å³ per atom): 23.1
Raw total energy (eV for the cell shown): -20.03
Energy above the lowest structure with this stoichiometry (eV/atom): 0.106
ΔH_f (0 K) (eV per atom): -0.0292

***

# 7
A relaxed Sc5Cd crystal. Source: Alexandria via LeMat-Bulk, functional PBE-GGA.

Unit cell a=5.0863 b=8.5571 c=8.5571 alpha=22.47 beta=90.00 gamma=90.00
Atoms (fractional coordinates):
Sc  0.0000  0.0000  0.0000
Sc  0.0000  0.3258  0.3258
Sc  0.0000  0.6616  0.6616
Sc  0.5000  0.2122  0.2122
Sc  0.5000  0.8775  0.8775
Cd  0.5000  0.5487  0.5487

Values from the calculation:
V (Å³ per atom): 23.7
Raw total energy (eV for the cell shown): -32.91
Energy above the lowest structure with this stoichiometry (eV/atom): 0.012
ΔH_f (0 K) (eV per atom): -0.0566

***

# 8
A relaxed Sc5Cd3 crystal. Source: Alexandria via LeMat-Bulk, functional PBE-GGA.

Unit cell a=3.2986 b=3.2986 c=16.7990 alpha=90.00 beta=90.00 gamma=90.00
Atoms (fractional coordinates):
Sc  0.0000  0.0000  0.0000
Sc  0.0000  0.0000  0.2435
Sc  0.0000  0.0000  0.7565
Sc  0.5000  0.5000  0.3777
Sc  0.5000  0.5000  0.6223
Cd  0.0000  0.0000  0.5000
Cd  0.5000  0.5000  0.1210
Cd  0.5000  0.5000  0.8790

Values from the calculation:
V (Å³ per atom): 22.8
Raw total energy (eV for the cell shown): -36.00
Energy above the lowest structure with this stoichiometry (eV/atom): 0.000
ΔH_f (0 K) (eV per atom): -0.2000

***

# 9
A relaxed Sc2Cd3 crystal. Source: Alexandria via LeMat-Bulk, functional PBE-GGA.

Unit cell a=9.0174 b=9.0174 c=9.0174 alpha=157.19 beta=157.19 gamma=32.48
Atoms (fractional coordinates):
Sc  0.0994  0.0994  0.0000
Sc  0.9006  0.9006  0.0000
Cd  0.2985  0.2985  0.0000
Cd  0.5000  0.5000  0.0000
Cd  0.7015  0.7015  0.0000

Values from the calculation:
V (Å³ per atom): 22.0
Raw total energy (eV for the cell shown): -16.53
ΔH_f (0 K) (eV per atom): -0.2245

***

# 10
A relaxed ScCd4 crystal. Source: Alexandria via LeMat-Bulk, functional PBE-GGA.

Unit cell a=5.8584 b=5.8584 c=5.8584 alpha=109.47 beta=109.47 gamma=109.47
Atoms (fractional coordinates):
Sc  0.0000  0.0000  0.0000
Cd  0.0000  0.0000  0.5000
Cd  0.0000  0.5000  0.0000
Cd  0.5000  0.0000  0.0000
Cd  0.5000  0.5000  0.5000

Values from the calculation:
V (Å³ per atom): 31.0
Raw total energy (eV for the cell shown): -8.61
Energy above the lowest structure with this stoichiometry (eV/atom): 0.399
ΔH_f (0 K) (eV per atom): 0.2762

***

# 11
A relaxed Sc6Cd23 crystal. Source: Alexandria via LeMat-Bulk, functional PBE-GGA.

Unit cell a=9.7379 b=9.7379 c=9.7379 alpha=60.00 beta=60.00 gamma=60.00
Atoms (fractional coordinates):
Sc  0.1904  0.1904  0.8096
Sc  0.1904  0.8096  0.1904
Sc  0.1904  0.8096  0.8096
Sc  0.8096  0.1904  0.1904
Sc  0.8096  0.1904  0.8096
Sc  0.8096  0.8096  0.1904
Cd  0.0000  0.0000  0.5000
Cd  0.0000  0.5000  0.0000
Cd  0.0000  0.5000  0.5000
Cd  0.1347  0.6218  0.6218
Cd  0.1543  0.1543  0.1543
Cd  0.1543  0.1543  0.5371
Cd  0.1543  0.5371  0.1543
Cd  0.3782  0.3782  0.3782
Cd  0.3782  0.3782  0.8653
Cd  0.3782  0.8653  0.3782
Cd  0.4629  0.8457  0.8457
Cd  0.5000  0.0000  0.0000
Cd  0.5000  0.0000  0.5000
Cd  0.5000  0.5000  0.0000
Cd  0.5000  0.5000  0.5000
Cd  0.5371  0.1543  0.1543
Cd  0.6218  0.1347  0.6218
Cd  0.6218  0.6218  0.1347
Cd  0.6218  0.6218  0.6218
Cd  0.8457  0.4629  0.8457
Cd  0.8457  0.8457  0.4629
Cd  0.8457  0.8457  0.8457
Cd  0.8653  0.3782  0.3782

Values from the calculation:
V (Å³ per atom): 22.5
Raw total energy (eV for the cell shown): -61.86
ΔH_f (0 K) (eV per atom): -0.0973

***

# 12
A relaxed Sc3Cd crystal. Source: Alexandria via LeMat-Bulk, functional PBE-GGA.

Unit cell a=3.2817 b=3.2817 c=10.2748 alpha=90.00 beta=90.00 gamma=120.00
Atoms (fractional coordinates):
Sc  0.0000  0.0000  0.0000
Sc  0.3333  0.6667  0.2509
Sc  0.3333  0.6667  0.7491
Cd  0.0000  0.0000  0.5000

Values from the calculation:
V (Å³ per atom): 24.0
Raw total energy (eV for the cell shown): -20.05
Energy above the lowest structure with this stoichiometry (eV/atom): 0.100
ΔH_f (0 K) (eV per atom): -0.0347

***

# 13
A relaxed Sc3Cd7 crystal. Source: Alexandria via LeMat-Bulk, functional PBE-GGA.

Unit cell a=8.3153 b=8.3153 c=6.1939 alpha=107.30 beta=107.30 gamma=32.43
Atoms (fractional coordinates):
Sc  0.0000  0.0000  0.0000
Sc  0.2021  0.2021  0.6208
Sc  0.7979  0.7979  0.3792
Cd  0.0000  0.0000  0.5000
Cd  0.1976  0.1976  0.1191
Cd  0.3950  0.3950  0.1699
Cd  0.4030  0.4030  0.6768
Cd  0.5970  0.5970  0.3232
Cd  0.6050  0.6050  0.8301
Cd  0.8024  0.8024  0.8809

Values from the calculation:
V (Å³ per atom): 21.8
Raw total energy (eV for the cell shown): -27.51
ΔH_f (0 K) (eV per atom): -0.2112

***

# 14
A relaxed Sc3Cd crystal. Source: Alexandria via LeMat-Bulk, functional PBE-GGA.

Unit cell a=3.3771 b=5.1453 c=5.4071 alpha=90.00 beta=90.00 gamma=90.00
Atoms (fractional coordinates):
Sc  0.0000  0.0000  0.0000
Sc  0.0000  0.5000  0.3701
Sc  0.5000  0.5000  0.8654
Cd  0.5000  0.0000  0.5078

Values from the calculation:
V (Å³ per atom): 23.5
Raw total energy (eV for the cell shown): -20.12
Energy above the lowest structure with this stoichiometry (eV/atom): 0.083
ΔH_f (0 K) (eV per atom): -0.0523

***

# 15
A relaxed Sc5Cd4 crystal. Source: Alexandria via LeMat-Bulk, functional PBE-GGA.

Unit cell a=7.0823 b=7.0823 c=7.0823 alpha=95.72 beta=95.72 gamma=143.21
Atoms (fractional coordinates):
Sc  0.0000  0.0000  0.0000
Sc  0.3320  0.3320  0.6641
Sc  0.3320  0.6680  0.0000
Sc  0.6680  0.3320  0.0000
Sc  0.6680  0.6680  0.3359
Cd  0.0000  0.3331  0.3331
Cd  0.0000  0.6669  0.6669
Cd  0.3331  0.0000  0.3331
Cd  0.6669  0.0000  0.6669

Values from the calculation:
V (Å³ per atom): 22.4
Raw total energy (eV for the cell shown): -36.73
Energy above the lowest structure with this stoichiometry (eV/atom): 0.047
ΔH_f (0 K) (eV per atom): -0.1574

***

# 16
A relaxed Sc5Cd crystal. Source: Alexandria via LeMat-Bulk, functional PBE-GGA.

Unit cell a=7.3593 b=7.3593 c=4.4807 alpha=90.00 beta=90.00 gamma=144.37
Atoms (fractional coordinates):
Sc  0.0000  0.0000  0.0000
Sc  0.1620  0.8380  0.5000
Sc  0.3295  0.6705  0.0000
Sc  0.6705  0.3295  0.0000
Sc  0.8380  0.1620  0.5000
Cd  0.5000  0.5000  0.5000

Values from the calculation:
V (Å³ per atom): 23.6
Raw total energy (eV for the cell shown): -32.96
Energy above the lowest structure with this stoichiometry (eV/atom): 0.004
ΔH_f (0 K) (eV per atom): -0.0641

***

# 17
A relaxed Sc5Cd crystal. Source: Alexandria via LeMat-Bulk, functional PBE-GGA.

Unit cell a=5.6389 b=5.6389 c=5.1925 alpha=90.00 beta=90.00 gamma=120.00
Atoms (fractional coordinates):
Sc  0.0000  0.6778  0.0000
Sc  0.3222  0.3222  0.0000
Sc  0.3333  0.6667  0.5000
Sc  0.6667  0.3333  0.5000
Sc  0.6778  0.0000  0.0000
Cd  0.0000  0.0000  0.5000

Values from the calculation:
V (Å³ per atom): 23.8
Raw total energy (eV for the cell shown): -32.74
Energy above the lowest structure with this stoichiometry (eV/atom): 0.041
ΔH_f (0 K) (eV per atom): -0.0277

***

# 18
A relaxed Sc5Cd crystal. Source: Alexandria via LeMat-Bulk, functional PBE-GGA.

Unit cell a=5.9082 b=5.9082 c=5.2552 alpha=90.00 beta=90.00 gamma=120.00
Atoms (fractional coordinates):
Sc  0.0000  0.5000  0.0000
Sc  0.3333  0.6667  0.5000
Sc  0.5000  0.0000  0.0000
Sc  0.5000  0.5000  0.0000
Sc  0.6667  0.3333  0.5000
Cd  0.0000  0.0000  0.5000

Values from the calculation:
V (Å³ per atom): 26.5
Raw total energy (eV for the cell shown): -30.22
Energy above the lowest structure with this stoichiometry (eV/atom): 0.461
ΔH_f (0 K) (eV per atom): 0.3921

***

# 19
A relaxed Sc3Cd crystal. Source: Alexandria via LeMat-Bulk, functional PBE-GGA.

Unit cell a=4.5113 b=4.5113 c=4.5113 alpha=90.00 beta=90.00 gamma=90.00
Atoms (fractional coordinates):
Sc  0.0000  0.0000  0.5000
Sc  0.0000  0.5000  0.0000
Sc  0.5000  0.0000  0.0000
Cd  0.5000  0.5000  0.5000

Values from the calculation:
V (Å³ per atom): 23.0
Raw total energy (eV for the cell shown): -20.39
Energy above the lowest structure with this stoichiometry (eV/atom): 0.014
ΔH_f (0 K) (eV per atom): -0.1212

***

# 20
A relaxed Sc5Cd4 crystal. Source: Alexandria via LeMat-Bulk, functional PBE-GGA.

Unit cell a=8.7270 b=8.7270 c=6.2103 alpha=90.00 beta=90.00 gamma=120.00
Atoms (fractional coordinates):
Sc  0.0000  0.3086  0.2500
Sc  0.0000  0.6914  0.7500
Sc  0.3086  0.0000  0.2500
Sc  0.3086  0.3086  0.7500
Sc  0.3333  0.6667  0.0000
Sc  0.3333  0.6667  0.5000
Sc  0.6667  0.3333  0.0000
Sc  0.6667  0.3333  0.5000
Sc  0.6914  0.0000  0.7500
Sc  0.6914  0.6914  0.2500
Cd  0.0000  0.0000  0.0000
Cd  0.0000  0.0000  0.5000
Cd  0.0000  0.3613  0.7500
Cd  0.0000  0.6387  0.2500
Cd  0.3613  0.0000  0.7500
Cd  0.3613  0.3613  0.2500
Cd  0.6387  0.0000  0.2500
Cd  0.6387  0.6387  0.7500

Values from the calculation:
V (Å³ per atom): 22.8
Raw total energy (eV for the cell shown): -74.32
Energy above the lowest structure with this stoichiometry (eV/atom): 0.000
ΔH_f (0 K) (eV per atom): -0.2048

***

Number 1: M_tot 0.105 μB/atom. Number 2: M_tot 0.000 μB/atom. Number 3: M_tot 0.000 μB/atom. Number 4: M_tot 0.000 μB/atom. Number 5: M_tot 0.081 μB/atom. Number 6: M_tot 0.211 μB/atom. Number 7: M_tot 0.000 μB/atom. Number 8: M_tot 0.246 μB/atom. Number 9: M_tot 0.040 μB/atom. Number 10: M_tot 0.000 μB/atom. Number 11: M_tot 0.000 μB/atom. Number 12: M_tot 0.075 μB/atom. Number 13: M_tot 0.000 μB/atom. Number 14: M_tot 0.362 μB/atom. Number 15: M_tot 0.221 μB/atom. Number 16: M_tot 0.000 μB/atom. Number 17: M_tot 0.562 μB/atom. Number 18: M_tot 0.002 μB/atom. Number 19: M_tot 0.200 μB/atom. Number 20: M_tot 0.000 μB/atom.